LiIr2Se | PBE | optimized geometry

Geometry as CIF:
```
data_LiIr2Se
_cell_length_a 4.623
_cell_length_b 4.623
_cell_length_c 4.706
_cell_angle_alpha 98.59
_cell_angle_beta 98.59
_cell_angle_gamma 35.87
_symmetry_space_group_name_H-M 'P 1'
_symmetry_Int_Tables_number 1
_symmetry_space_group_name_Hall 'P 1'
loop_
_atom_site_label
_atom_site_type_symbol
_atom_site_fract_x
_atom_site_fract_y
_atom_site_fract_z
Li1 Li 0.000 0.000 0.000
Ir1 Ir 0.242 0.242 0.751
Ir2 Ir 0.758 0.758 0.249
Se1 Se 0.500 0.500 0.500
```

The uncorrected formation energy is -0.017 eV/atom. The space group is C2/m, No. 12.



LiIr2Se | PBE | optimized geometry

Geometry as CIF:
```
data_LiIr2Se
_cell_length_a 5.253
_cell_length_b 5.253
_cell_length_c 5.061
_cell_angle_alpha 118.29
_cell_angle_beta 118.29
_cell_angle_gamma 31.95
_symmetry_space_group_name_H-M 'P 1'
_symmetry_Int_Tables_number 1
_symmetry_space_group_name_Hall 'P 1'
loop_
_atom_site_label
_atom_site_type_symbol
_atom_site_fract_x
_atom_site_fract_y
_atom_site_fract_z
Li1 Li 0.000 0.000 0.000
Ir1 Ir 0.248 0.248 0.567
Ir2 Ir 0.528 0.528 0.557
Se1 Se 0.802 0.802 0.231
```

The uncorrected formation energy is 0.031 eV/atom. The space group is Cm, No. 8.



Li2IrSe | PBE | optimized geometry

Geometry as CIF:
```
data_Li2IrSe
_cell_length_a 3.749
_cell_length_b 3.749
_cell_length_c 4.001
_cell_angle_alpha 90.00
_cell_angle_beta 90.00
_cell_angle_gamma 90.00
_symmetry_space_group_name_H-M 'P 1'
_symmetry_Int_Tables_number 1
_symmetry_space_group_name_Hall 'P 1'
loop_
_atom_site_label
_atom_site_type_symbol
_atom_site_fract_x
_atom_site_fract_y
_atom_site_fract_z
Li1 Li 0.000 0.500 0.000
Li2 Li 0.500 0.000 0.000
Ir1 Ir 0.000 0.000 0.500
Se1 Se 0.500 0.500 0.500
```

The uncorrected formation energy is -0.319 eV/atom. The space group is P4/mmm, No. 123.



Li2IrSe | PBE | optimized geometry

Geometry as CIF:
```
data_Li2IrSe
_cell_length_a 4.842
_cell_length_b 4.842
_cell_length_c 4.842
_cell_angle_alpha 134.65
_cell_angle_beta 134.65
_cell_angle_gamma 66.07
_symmetry_space_group_name_H-M 'P 1'
_symmetry_Int_Tables_number 1
_symmetry_space_group_name_Hall 'P 1'
loop_
_atom_site_label
_atom_site_type_symbol
_atom_site_fract_x
_atom_site_fract_y
_atom_site_fract_z
Li1 Li 0.250 0.750 0.500
Li2 Li 0.750 0.250 0.500
Ir1 Ir 0.000 0.000 0.000
Se1 Se 0.500 0.500 0.000
```

The uncorrected formation energy is -0.297 eV/atom. The space group is I4/mmm, No. 139.



Li2IrSe | PBE | optimized geometry

Geometry as CIF:
```
data_Li2IrSe
_cell_length_a 2.778
_cell_length_b 2.778
_cell_length_c 8.383
_cell_angle_alpha 90.00
_cell_angle_beta 90.00
_cell_angle_gamma 112.63
_symmetry_space_group_name_H-M 'P 1'
_symmetry_Int_Tables_number 1
_symmetry_space_group_name_Hall 'P 1'
loop_
_atom_site_label
_atom_site_type_symbol
_atom_site_fract_x
_atom_site_fract_y
_atom_site_fract_z
Li1 Li 0.000 0.000 0.247
Li2 Li 0.000 0.000 0.753
Ir1 Ir 0.500 0.500 0.000
Se1 Se 0.500 0.500 0.500
```

The uncorrected formation energy is -0.244 eV/atom. The space group is Cmmm, No. 65.



LiIr2Se | PBE | optimized geometry

Geometry as CIF:
```
data_LiIr2Se
_cell_length_a 2.863
_cell_length_b 3.949
_cell_length_c 5.150
_cell_angle_alpha 90.00
_cell_angle_beta 90.00
_cell_angle_gamma 90.00
_symmetry_space_group_name_H-M 'P 1'
_symmetry_Int_Tables_number 1
_symmetry_space_group_name_Hall 'P 1'
loop_
_atom_site_label
_atom_site_type_symbol
_atom_site_fract_x
_atom_site_fract_y
_atom_site_fract_z
Li1 Li 0.000 0.000 0.000
Ir1 Ir 0.000 0.000 0.510
Ir2 Ir 0.500 0.500 0.759
Se1 Se 0.500 0.500 0.248
```

The uncorrected formation energy is 0.070 eV/atom. The space group is Pmm2, No. 25.



LiIrSe4 | PBE | optimized geometry

Geometry as CIF:
```
data_LiIrSe4
_cell_length_a 5.577
_cell_length_b 5.577
_cell_length_c 5.577
_cell_angle_alpha 60.00
_cell_angle_beta 60.00
_cell_angle_gamma 60.00
_symmetry_space_group_name_H-M 'P 1'
_symmetry_Int_Tables_number 1
_symmetry_space_group_name_Hall 'P 1'
loop_
_atom_site_label
_atom_site_type_symbol
_atom_site_fract_x
_atom_site_fract_y
_atom_site_fract_z
Li1 Li 0.000 0.000 0.000
Ir1 Ir 0.250 0.250 0.250
Se1 Se 0.128 0.624 0.624
Se2 Se 0.624 0.128 0.624
Se3 Se 0.624 0.624 0.128
Se4 Se 0.624 0.624 0.624
```

The uncorrected formation energy is 0.806 eV/atom. The space group is F-43m, No. 216.



LiIrSe2 | PBE | optimized geometry

Geometry as CIF:
```
data_LiIrSe2
_cell_length_a 4.786
_cell_length_b 3.693
_cell_length_c 4.844
_cell_angle_alpha 90.00
_cell_angle_beta 107.85
_cell_angle_gamma 90.00
_symmetry_space_group_name_H-M 'P 1'
_symmetry_Int_Tables_number 1
_symmetry_space_group_name_Hall 'P 1'
loop_
_atom_site_label
_atom_site_type_symbol
_atom_site_fract_x
_atom_site_fract_y
_atom_site_fract_z
Li1 Li 0.000 0.000 0.000
Ir1 Ir 0.500 0.000 0.500
Se1 Se 0.279 0.500 0.687
Se2 Se 0.721 0.500 0.313
```

The uncorrected formation energy is -0.330 eV/atom. The space group is P2/m, No. 10.



LiIr2Se | PBE | optimized geometry

Geometry as CIF:
```
data_LiIr2Se
_cell_length_a 2.848
_cell_length_b 2.848
_cell_length_c 7.705
_cell_angle_alpha 90.00
_cell_angle_beta 90.00
_cell_angle_gamma 90.00
_symmetry_space_group_name_H-M 'P 1'
_symmetry_Int_Tables_number 1
_symmetry_space_group_name_Hall 'P 1'
loop_
_atom_site_label
_atom_site_type_symbol
_atom_site_fract_x
_atom_site_fract_y
_atom_site_fract_z
Li1 Li 0.000 0.000 0.000
Ir1 Ir 0.000 0.000 0.526
Ir2 Ir 0.500 0.500 0.752
Se1 Se 0.500 0.500 0.277
```

The uncorrected formation energy is 0.094 eV/atom. The space group is P4mm, No. 99.



Li2IrSe | PBE | optimized geometry

Geometry as CIF:
```
data_Li2IrSe
_cell_length_a 3.023
_cell_length_b 3.740
_cell_length_c 5.355
_cell_angle_alpha 90.00
_cell_angle_beta 90.00
_cell_angle_gamma 90.00
_symmetry_space_group_name_H-M 'P 1'
_symmetry_Int_Tables_number 1
_symmetry_space_group_name_Hall 'P 1'
loop_
_atom_site_label
_atom_site_type_symbol
_atom_site_fract_x
_atom_site_fract_y
_atom_site_fract_z
Li1 Li 0.000 0.000 0.000
Li2 Li 0.500 0.500 0.248
Ir1 Ir 0.500 0.500 0.739
Se1 Se 0.000 0.000 0.536
```

The uncorrected formation energy is -0.152 eV/atom. The space group is Pmm2, No. 25.



LiIr2Se | PBE | optimized geometry

Geometry as CIF:
```
data_LiIr2Se
_cell_length_a 4.810
_cell_length_b 4.810
_cell_length_c 4.810
_cell_angle_alpha 133.26
_cell_angle_beta 133.26
_cell_angle_gamma 68.25
_symmetry_space_group_name_H-M 'P 1'
_symmetry_Int_Tables_number 1
_symmetry_space_group_name_Hall 'P 1'
loop_
_atom_site_label
_atom_site_type_symbol
_atom_site_fract_x
_atom_site_fract_y
_atom_site_fract_z
Li1 Li 0.000 0.000 0.000
Ir1 Ir 0.500 0.500 0.000
Ir2 Ir 0.750 0.250 0.500
Se1 Se 0.250 0.750 0.500
```

The uncorrected formation energy is 0.176 eV/atom. The space group is I-4m2, No. 119.



LiIr2Se | PBE | optimized geometry

Geometry as CIF:
```
data_LiIr2Se
_cell_length_a 5.869
_cell_length_b 5.869
_cell_length_c 5.869
_cell_angle_alpha 99.83
_cell_angle_beta 99.83
_cell_angle_gamma 131.20
_symmetry_space_group_name_H-M 'P 1'
_symmetry_Int_Tables_number 1
_symmetry_space_group_name_Hall 'P 1'
loop_
_atom_site_label
_atom_site_type_symbol
_atom_site_fract_x
_atom_site_fract_y
_atom_site_fract_z
Li1 Li 0.000 0.000 0.000
Li2 Li 0.750 0.250 0.500
Ir1 Ir 0.193 0.625 0.068
Ir2 Ir 0.375 0.443 0.568
Ir3 Ir 0.557 0.125 0.932
Ir4 Ir 0.875 0.807 0.432
Se1 Se 0.250 0.750 0.500
Se2 Se 0.500 0.500 0.000
```

The uncorrected formation energy is 0.336 eV/atom. The space group is I-42d, No. 122.